No. 1
PBE Sm2Ga5Cu3, relaxed; ΔE_f = -465 meV/atom; crystal system = tetragonal
1.0
4.181 0.000 0.000
0.000 4.181 0.000
0.000 0.000 10.394
Sm Ga Cu
2 5 3
Direct
0.000 0.500 0.243
0.500 0.000 0.757
0.000 0.000 0.500
0.000 0.500 0.639
0.000 0.500 0.878
0.500 0.000 0.122
0.500 0.000 0.361
0.000 0.000 0.000
0.500 0.500 0.000
0.500 0.500 0.500

No. 2
PBE PrLuGaPb, relaxed; ΔE_f = -397 meV/atom; crystal system = cubic
1.0
0.000 3.772 3.772
3.772 0.000 3.772
3.772 3.772 0.000
Pr Lu Ga Pb
1 1 1 1
Direct
0.000 0.000 0.000
0.500 0.500 0.500
0.750 0.750 0.750
0.250 0.250 0.250

No. 3
PBE Na2Dy2PuO6, relaxed; formation energy without anion corrections = -2.806 eV per atom; crystal system = monoclinic
1.0
2.992 -5.187 0.000
2.992 5.187 0.000
-1.907 0.000 5.622
Na Dy Pu O
2 2 1 6
Direct
0.169 0.831 0.000
0.831 0.169 0.000
0.335 0.665 0.500
0.665 0.335 0.500
0.000 0.000 0.500
0.052 0.391 0.699
0.250 0.250 0.303
0.391 0.052 0.699
0.609 0.948 0.301
0.750 0.750 0.697
0.948 0.609 0.301

No. 4
PBE KAs2PdPt, relaxed; ΔE_f = -454 meV/atom; crystal system = tetragonal
1.0
-2.206 2.206 5.950
2.206 -2.206 5.950
2.206 2.206 -5.950
K As Pd Pt
1 2 1 1
Direct
0.000 0.000 0.000
0.351 0.351 0.000
0.649 0.649 0.000
0.750 0.250 0.500
0.250 0.750 0.500

What density of states at the Fermi level values result from the calculations? In sequence: 4.3, 2.9, 1.7, 2.4 states/eV/f.u..
What E_tot values result from the calculations? In sequence: -41.51, -17.62, -86.79, -23.90 eV/cell.